# 1
A plane-wave DFT calculation with GGA-PBE was carried out for a geometry-optimized Tl2TcGe structure.

Values from the calculation:
* magnetic moment: 8.74 Bohr magnetons per cell

a = 7.0772 Å, b = 7.0772 Å, c = 7.0772 Å
α = 90.00°, β = 90.00°, γ = 90.00°
Last column: nearest neighbours and their distance in Å.
Space group F-43m (No. 216)
Symmetry-distinct sites (fractional):
Tl (0.0000, 0.0000, 0.0000)  4 Ge 3.06, 4 Tl 3.06
Tl (0.2500, 0.2500, 0.2500)  4 Tl 3.06, 4 Tc 3.06
Tc (0.0000, 0.0000, 0.5000)  4 Tl 3.06, 4 Ge 3.06
Ge (0.2500, 0.2500, 0.7500)  4 Tc 3.06, 4 Tl 3.06

***

# 2
A plane-wave DFT calculation with GGA-PBE was carried out for a geometry-optimized Er4Cu3Pt structure.

Values from the calculation:
* energy of formation from the pure elements: -0.5642 eV per atom
* magnetic moment: 0.00 Bohr magnetons per cell

a = 5.4116 Å, b = 4.4476 Å, c = 7.0233 Å
α = 90.00°, β = 90.04°, γ = 90.00°
Last column: nearest neighbours and their distance in Å.
Space group Pm (No. 6)
Symmetry-distinct sites (fractional):
Er (0.0000, 0.0000, 0.0000)  5 Cu 2.87-3.01, 2 Pt 2.94
Er (0.2218, 0.0000, 0.4914)  5 Cu 2.87-3.00, 2 Pt 2.95
Er (0.4936, 0.5000, 0.8616)  6 Cu 2.86-2.98, 1 Pt 2.90
Er (0.7225, 0.5000, 0.3602)  5 Cu 2.85-3.00, 2 Pt 2.87-2.91
Cu (0.5019, 0.0000, 0.1387)  2 Pt 2.75, 7 Er 2.87-2.96
Cu (0.7317, 0.0000, 0.6473)  2 Cu 2.65, 3 Er 2.87-2.97
Cu (0.9853, 0.5000, 0.7122)  2 Cu 2.65, 3 Er 2.85-2.94
Pt (0.2188, 0.5000, 0.2152)  2 Cu 2.75, 7 Er 2.87-2.95

***

# 3
A plane-wave DFT calculation with GGA-PBE was carried out for a geometry-optimized TlCdBiTe3 structure.

a = 4.5306 Å, b = 15.3098 Å, c = 11.8361 Å
α = 90.00°, β = 90.00°, γ = 90.00°
Last column: nearest neighbours and their distance in Å.
Space group Cmcm (No. 63)
Symmetry-distinct sites (fractional):
Tl (0.0000, 0.2467, 0.2500)  8 Te 3.53-3.91, 2 Cd 3.85
Cd (0.0000, 0.4563, 0.7500)  4 Te 2.83-2.92
Bi (0.0000, 0.0000, 0.0000)  6 Te 3.18-3.19
Te (0.0000, 0.0767, 0.7500)  2 Cd 2.92, 2 Bi 3.18
Te (0.0000, 0.3581, 0.5471)  1 Cd 2.83

***

# 4
A plane-wave DFT calculation with GGA-PBE was carried out for a geometry-optimized LiCuNiW structure.

Values from the calculation:
* magnetic moment: 0.00 Bohr magnetons per cell

a = 5.8568 Å, b = 5.8568 Å, c = 5.8568 Å
α = 90.00°, β = 90.00°, γ = 90.00°
Last column: nearest neighbours and their distance in Å.
Space group F-43m (No. 216)
Symmetry-distinct sites (fractional):
Li (0.0000, 0.0000, 0.0000)  4 Ni 2.54, 4 Cu 2.54
Cu (0.2500, 0.2500, 0.7500)  4 W 2.54, 4 Li 2.54
Ni (0.2500, 0.2500, 0.2500)  4 W 2.54, 4 Li 2.54
W (0.0000, 0.0000, 0.5000)  4 Ni 2.54, 4 Cu 2.54

***

no.,V (Å³/cell),total DFT energy (no corrections) (eV per atom)
1,354,-4.102
2,169,-4.997
3,821,-3.101
4,201,-5.768